{
  "formula": "BeHAu",
  "functional": "PBE",
  "state": "optimized geometry",
  "cell": [[-3.487, -1.542, 0.592], [0.963, -1.270, 2.364], [-0.090, 11.142, 6.019]],
  "species": ["Be", "Be", "Be", "Be", "H", "H", "H", "H", "Au", "Au", "Au", "Au"],
  "fractional_positions": [[0.471, 0.000, 0.843], [0.471, 0.500, 0.343], [0.762, 0.000, 0.717], [0.762, 0.500, 0.217], [0.343, 0.000, 0.377], [0.343, 0.500, 0.877], [0.841, 0.000, 0.837], [0.841, 0.500, 0.337], [0.210, 0.000, 0.169], [0.210, 0.500, 0.669], [0.585, 0.000, 0.519], [0.585, 0.500, 0.019]],
  "space_group": "Cm",
  "polymorph_energy_ev_per_atom": 0.0025,
  "m_tot_mub_per_cell": 0.00,
  "rho_kg_m3": 10255
}

{
  "formula": "TaAg2Ir",
  "functional": "PBE",
  "state": "optimized geometry",
  "cell": [[-0.280, 0.248, 2.820], [-3.294, -2.971, -0.065], [3.523, -3.921, 0.695]],
  "species": ["Ir", "Ag", "Ag", "Ta"],
  "fractional_positions": [[0.500, 0.500, 0.250], [0.000, 0.000, 0.001], [0.000, 0.000, 0.499], [0.500, 0.500, 0.750]],
  "space_group": "Pmmm",
  "polymorph_energy_ev_per_atom": 0.2466,
  "delta_e_f_ev_per_fu": 1.088,
  "m_tot_mub_per_cell": 0.00,
  "rho_kg_m3": 14572
}

{
  "formula": "Zn9Cd2Au4",
  "functional": "PBE",
  "state": "optimized geometry",
  "cell": [[-3.895, 2.134, -0.411], [1.868, -1.936, -3.557], [-7.492, -13.062, 3.174]],
  "species": ["Zn", "Zn", "Zn", "Zn", "Zn", "Zn", "Zn", "Zn", "Zn", "Cd", "Cd", "Au", "Au", "Au", "Au"],
  "fractional_positions": [[0.000, 0.000, 0.323], [0.000, 0.000, 0.677], [0.000, 0.000, 0.854], [0.000, 0.000, 0.146], [0.333, 0.667, 0.567], [0.667, 0.333, 0.433], [0.667, 0.333, 0.058], [0.333, 0.667, 0.942], [0.000, 0.000, 0.500], [0.333, 0.667, 0.757], [0.667, 0.333, 0.243], [0.333, 0.667, 0.388], [0.667, 0.333, 0.612], [0.667, 0.333, 0.889], [0.333, 0.667, 0.111]],
  "space_group": "P-3m1",
  "delta_e_f_ev_per_fu": -1.119,
  "m_tot_mub_per_cell": 0.00,
  "rho_kg_m3": 10029
}

{
  "formula": "TbHo2Tl2Ag2",
  "functional": "PBE",
  "state": "optimized geometry",
  "cell": [[4.902, 0.000, 0.000], [2.451, 4.245, 0.000], [2.451, 1.415, 8.572]],
  "species": ["Tb", "Ho", "Ho", "Tl", "Tl", "Ag", "Ag"],
  "fractional_positions": [[0.000, 0.000, 0.000], [0.133, 0.133, 0.602], [0.867, 0.867, 0.398], [0.735, 0.735, 0.796], [0.265, 0.265, 0.204], [0.565, 0.565, 0.305], [0.435, 0.435, 0.695]],
  "space_group": "R-3m",
  "delta_e_f_ev_per_fu": -1.040,
  "m_tot_mub_per_cell": 0.00,
  "rho_kg_m3": 10365
}